First-principles (PBE-GGA) data for a geometry-optimized CsMgTl3 structure, as listed in the Alexandria database.

The structure in extended XYZ format:
```
5
Lattice="-3.5757 1.5474 4.2907 -3.3600 -4.5807 -1.1482 3.0846 -3.1958 3.7232" Properties=species:S:1:pos:R:3 pbc="T T T"
Tl -1.6800 -2.2903 -0.5741
Tl -1.7879 0.7737 2.1453
Tl 1.5423 -1.5979 1.8616
Mg 0.0000 0.0000 0.0000
Cs -1.9255 -3.1146 3.4328
```

Output
**Final energy**: -1.8373 eV/atom
**Magnetization**: 0.00 μB/f.u.
**Symmetry**: Pm-3m, No. 221
**Fermi-level density of states**: 4.80 states/eV/f.u.
**E_form**: 0.072 eV per atom
**Calculated volume**: 194.7 Å³ per cell